(1)
{"formula": "BaEr2Te4", "functional": "GGA-PBE", "state": "relaxed", "dft_energy_ev_per_atom": -4.902, "lattice": [[13.7426, 0.0000, 0.0000], [0.0000, 4.4578, 0.0000], [0.0000, 0.0000, 16.2015]], "species": ["Ba", "Ba", "Ba", "Ba", "Er", "Er", "Er", "Er", "Er", "Er", "Er", "Er", "Te", "Te", "Te", "Te", "Te", "Te", "Te", "Te", "Te", "Te", "Te", "Te", "Te", "Te", "Te", "Te"], "fractional_positions": [[0.2615, 0.7500, 0.1700], [0.7615, 0.7500, 0.3300], [0.2385, 0.2500, 0.6700], [0.7385, 0.2500, 0.8300], [0.5809, 0.2500, 0.0964], [0.9413, 0.7500, 0.1097], [0.4413, 0.7500, 0.3903], [0.0809, 0.2500, 0.4036], [0.9191, 0.7500, 0.5964], [0.5587, 0.2500, 0.6097], [0.0587, 0.2500, 0.8903], [0.4191, 0.7500, 0.9036], [0.3733, 0.2500, 0.0284], [0.0901, 0.2500, 0.0759], [0.7955, 0.2500, 0.1592], [0.5275, 0.7500, 0.2157], [0.0275, 0.7500, 0.2843], [0.2955, 0.2500, 0.3408], [0.5901, 0.2500, 0.4241], [0.8733, 0.2500, 0.4716], [0.1267, 0.7500, 0.5284], [0.4099, 0.7500, 0.5759], [0.7045, 0.7500, 0.6592], [0.9725, 0.2500, 0.7157], [0.4725, 0.2500, 0.7843], [0.2045, 0.7500, 0.8408], [0.9099, 0.7500, 0.9241], [0.6267, 0.7500, 0.9716]]}

---

(2)
{"formula": "BaErTh", "functional": "GGA-PBE", "state": "relaxed", "dft_energy_ev_per_atom": -3.482, "lattice": [[2.7729, -4.5019, -1.6078], [3.7243, -2.3024, 3.3719], [-1.0556, -4.8848, 2.3592]], "species": ["Ba", "Er", "Th"], "fractional_positions": [[0.0000, 0.0000, 0.0000], [0.2500, 0.2500, 0.2500], [0.7500, 0.7500, 0.7500]]}

---

(3)
{"formula": "BaErTm", "functional": "GGA-PBE", "state": "relaxed", "e_above_lowest_polymorph_mev_per_atom": 0, "dft_energy_ev_per_atom": -2.815, "lattice": [[0.0119, -5.2367, 2.3530], [-1.1837, -0.6421, 5.5809], [-4.9420, -2.4279, 1.6254]], "species": ["Ba", "Er", "Tm"], "fractional_positions": [[0.2500, 0.2500, 0.2500], [0.7500, 0.7500, 0.7500], [0.0000, 0.0000, 0.0000]]}

---

(4)
{"formula": "BaErW", "functional": "GGA-PBE", "state": "relaxed", "e_above_lowest_polymorph_mev_per_atom": 299, "dft_energy_ev_per_atom": -4.459, "lattice": [[-1.1434, 2.1229, 4.5178], [-3.8727, -1.8519, 2.7924], [0.9596, -2.5430, 4.3401]], "species": ["Ba", "Er", "W"], "fractional_positions": [[0.0000, 0.0000, 0.0000], [0.2500, 0.2500, 0.2500], [0.7500, 0.7500, 0.7500]]}

---

(5)
{"formula": "BaErW", "functional": "GGA-PBE", "state": "relaxed", "e_above_lowest_polymorph_mev_per_atom": 0, "dft_energy_ev_per_atom": -4.758, "lattice": [[0.0000, 3.6664, 3.6664], [3.6664, 0.0000, 3.6664], [3.6664, 3.6664, 0.0000]], "species": ["Ba", "Er", "W"], "fractional_positions": [[0.2500, 0.2500, 0.2500], [0.0000, 0.0000, 0.0000], [0.7500, 0.7500, 0.7500]]}

---

(6)
{"formula": "BaHgF4", "functional": "GGA-PBE", "state": "relaxed", "e_above_lowest_polymorph_mev_per_atom": 59, "dft_energy_ev_per_atom": -4.182, "lattice": [[4.0620, 0.0000, 0.0000], [0.0000, 4.0620, 0.0000], [0.0000, 0.0000, 5.8182]], "species": ["Ba", "F", "F", "F", "F", "Hg"], "fractional_positions": [[0.5000, 0.5000, 0.5000], [0.5000, 0.0000, 0.2268], [0.0000, 0.5000, 0.2268], [0.5000, 0.0000, 0.7732], [0.0000, 0.5000, 0.7732], [0.0000, 0.0000, 0.0000]]}